Mg3BeCu after structural relaxation. Source: Alexandria via LeMat-Bulk, functional GGA-PBE.

a = 4.8137 Å, b = 4.8137 Å, c = 4.8137 Å
α = 90.00°, β = 90.00°, γ = 90.00°
Fractional positions:
1 Be 0.5000 0.5000 0.5000
2 Mg 0.0000 0.5000 0.0000
3 Mg 0.5000 0.0000 0.0000
4 Mg 0.0000 0.0000 0.5000
5 Cu 0.0000 0.0000 0.0000

* magnetization: 0.000 μB/atom
* energy relative to the elements: 0.584 eV/atom
* offset from the most stable computed form: 0.113 eV/atom